The following is a DFT calculation (GGA+U) of a relaxed structure of Ba3Mo2O7.

POSCAR file:
```
Ba3Mo2O7
1.0
2.140 -11.388 0.000
2.140 11.388 0.000
0.000 0.000 4.074
Ba Mo O
3 2 7
direct
0.000 0.000 0.000
0.174 0.826 0.000
0.826 0.174 0.000
0.407 0.593 0.500
0.593 0.407 0.500
0.093 0.907 0.500
0.319 0.681 0.500
0.409 0.591 0.000
0.500 0.500 0.500
0.591 0.409 0.000
0.681 0.319 0.500
0.907 0.093 0.500
```

Energy, eV/atom: -6.79
Theoretical density, g/cm3: 6.0
Space group: Cmmm, No. 65